Computed, not measured: a relaxed Na2B3C crystal at the PBE level of DFT.

## Properties
The calculation puts the distance to the lowest polymorph of the same formula at 0.12 eV per formula unit. As for the formation energy: 0.153 eV/atom.

Lattice parameters (Å, degrees): 8.6278 2.8174 26.0891 90.00 90.00 90.00
Space group Amm2 (No. 38)
Symmetry-distinct sites (fractional):
Na  0.2479  0.0000  0.0000
Na  0.2485  0.0000  0.7977
Na  0.2499  0.0000  0.1985
Na  0.2497  0.0000  0.5998
Na  0.2518  0.0000  0.3980
B  0.0000  0.0000  0.0709
B  0.0000  0.0000  0.1371
B  0.0000  0.0000  0.2673
B  0.0000  0.0000  0.3337
B  0.0000  0.0000  0.4658
B  0.0000  0.0000  0.5297
B  0.0000  0.0000  0.7284
B  0.0000  0.0000  0.9238
B  0.5000  0.0000  0.0690
B  0.5000  0.0000  0.2568
B  0.5000  0.0000  0.3252
B  0.5000  0.0000  0.4772
B  0.5000  0.0000  0.6626
B  0.5000  0.0000  0.8685
B  0.5000  0.0000  0.9334
C  0.0000  0.0000  0.6675
C  0.0000  0.0000  0.8647
C  0.5000  0.0000  0.1312
C  0.5000  0.0000  0.5370
C  0.5000  0.0000  0.7255

***

Computed, not measured: a relaxed Na4B5C3 crystal at the PBE level of DFT.

## Properties
The calculation puts the distance to the lowest polymorph of the same formula at 0.39 eV per formula unit. As for the formation energy: 0.093 eV/atom.

Lattice parameters (Å, degrees): 17.0594 5.7797 4.9230 90.00 90.00 90.00
Space group Cmc2_1 (No. 36)
Symmetry-distinct sites (fractional):
Na  0.1260  0.1248  0.0000
Na  0.1265  0.3754  0.4988
B  0.0000  0.1162  0.6635
B  0.0000  0.3602  0.1892
B  0.0000  0.3769  0.8197
B  0.2498  0.1250  0.3329
C  0.0000  0.1188  0.3268
C  0.2496  0.1250  0.6675

***

Computed, not measured: a relaxed Na5B9C crystal at the PBE level of DFT.

## Properties
The calculation puts the distance to the lowest polymorph of the same formula at 0.25 eV per formula unit. As for the formation energy: 0.253 eV/atom.

Lattice parameters (Å, degrees): 15.0211 5.1087 9.1909 90.00 109.05 90.00
Space group C2/c (No. 15)
Symmetry-distinct sites (fractional):
Na  0.0499  0.2502  0.0002
Na  0.1505  0.2468  0.5010
Na  0.2500  0.2500  0.0000
B  0.0000  0.0879  0.2500
B  0.0910  0.4315  0.7497
B  0.1014  0.0875  0.7496
B  0.1970  0.0854  0.2499
B  0.2005  0.4313  0.2493
C  0.0000  0.4078  0.2500

***

Computed, not measured: a relaxed Na2B3C crystal at the PBE level of DFT.

## Properties
The calculation puts the distance to the lowest polymorph of the same formula at 0.28 eV per formula unit. As for the formation energy: 0.180 eV/atom.

Lattice parameters (Å, degrees): 5.0156 7.7405 9.0860 72.25 89.99 71.11
Space group P1 (No. 1)
Symmetry-distinct sites (fractional):
Na  0.0000  0.0000  0.0000
Na  0.0935  0.8028  0.4901
Na  0.1951  0.5990  0.9988
Na  0.3004  0.3999  0.4934
Na  0.4002  0.1982  0.9996
Na  0.4937  0.0022  0.4907
Na  0.5960  0.7997  0.9985
Na  0.6943  0.6033  0.4927
Na  0.7957  0.3996  0.0006
Na  0.8982  0.2038  0.4911
B  0.0360  0.2951  0.7452
B  0.0523  0.5197  0.7455
B  0.1302  0.1009  0.2457
B  0.2006  0.9066  0.7461
B  0.2974  0.0911  0.7456
B  0.3122  0.7009  0.2456
B  0.4058  0.4956  0.7449
B  0.4758  0.7005  0.7459
B  0.5036  0.3128  0.2453
B  0.6317  0.1060  0.7454
B  0.6867  0.3109  0.7449
B  0.7155  0.8890  0.2460
B  0.7790  0.1007  0.2462
B  0.8717  0.8816  0.7457
B  0.9120  0.5010  0.2452
C  0.1782  0.3040  0.2449
C  0.3812  0.8978  0.2462
C  0.5712  0.5071  0.2450
C  0.7980  0.7005  0.7462
C  0.9773  0.6951  0.2455

***

Computed, not measured: a relaxed Na5B6C4 crystal at the PBE level of DFT.

## Properties
The calculation puts the distance to the lowest polymorph of the same formula at 0.37 eV per formula unit. As for the formation energy: 0.076 eV/atom.

Lattice parameters (Å, degrees): 2.8543 2.8543 42.4063 90.00 90.00 120.00
Space group P6_3/mmc (No. 194)
Symmetry-distinct sites (fractional):
Na  0.0000  0.0000  0.0000
Na  0.0000  0.0000  0.0991
Na  0.0000  0.0000  0.1989
B  0.3333  0.6667  0.0495
B  0.3333  0.6667  0.2500
B  0.3333  0.6667  0.6486
B  0.3333  0.6667  0.7500
C  0.3333  0.6667  0.1486
C  0.3333  0.6667  0.5495

***

Computed, not measured: a relaxed Na2B3C crystal at the PBE level of DFT.

## Properties
The calculation puts the distance to the lowest polymorph of the same formula at 0.11 eV per formula unit. As for the formation energy: 0.151 eV/atom.

Lattice parameters (Å, degrees): 8.6612 2.8124 15.6316 90.00 90.00 90.00
Space group Amm2 (No. 38)
Symmetry-distinct sites (fractional):
Na  0.2450  0.0000  0.0000
Na  0.2481  0.0000  0.3334
Na  0.2510  0.0000  0.6691
B  0.0000  0.0000  0.1233
B  0.0000  0.0000  0.4497
B  0.0000  0.0000  0.5550
B  0.0000  0.0000  0.7727
B  0.0000  0.0000  0.8815
B  0.5000  0.0000  0.1189
B  0.5000  0.0000  0.2312
B  0.5000  0.0000  0.5410
B  0.5000  0.0000  0.8878
C  0.0000  0.0000  0.2221
C  0.5000  0.0000  0.4416
C  0.5000  0.0000  0.7840